i.
Material: KGaSN2
Method: DFT, PBE-GGA
State: relaxed

Geometry as POSCAR:
```
KGaSN2
1.0
4.2198 0.0000 0.0000
0.0000 4.2198 0.0000
0.0000 0.0000 4.9536
K Ga S N
1 1 1 2
direct
0.0000 0.0000 0.0000
0.5000 0.5000 0.5000
0.5000 0.5000 0.0000
0.0000 0.5000 0.5000
0.5000 0.0000 0.5000
```

## Properties
**Space-group type**: P4/mmm
**Fermi-level density of states**: 2.39 states/eV/cell
**Magnetic moment**: 4.0 μB per cell

ii.
Material: KGaSN2
Method: DFT, PBE-GGA
State: relaxed

Geometry as POSCAR:
```
KGaSN2
1.0
5.0375 0.0000 0.0000
0.0000 5.0375 0.0000
0.0000 0.0000 6.0477
K Ga S N
1 1 1 2
direct
0.0000 0.0000 0.0000
0.5000 0.5000 0.5000
0.0000 0.0000 0.5000
0.0000 0.5000 0.0000
0.5000 0.0000 0.0000
```

## Properties
**Space-group type**: P4/mmm
**Fermi-level density of states**: 3.26 states/eV/cell
**Magnetic moment**: 6.0 μB per cell

i wins, 1153 meV per atom ahead of the next structure.

i.
Material: KGaSeN2
Method: DFT, PBE-GGA
State: relaxed

Geometry as POSCAR:
```
KGaSeN2
1.0
4.2681 0.0000 0.0000
0.0000 4.2681 0.0000
0.0000 0.0000 5.2196
K Ga Se N
1 1 1 2
direct
0.0000 0.0000 0.0000
0.5000 0.5000 0.5000
0.5000 0.5000 0.0000
0.0000 0.5000 0.5000
0.5000 0.0000 0.5000
```

## Properties
**Space-group type**: P4/mmm
**Fermi-level density of states**: 2.26 states/eV/cell
**Magnetic moment**: 4.0 μB per cell

ii.
Material: KGaSeN2
Method: DFT, PBE-GGA
State: relaxed

Geometry as POSCAR:
```
KGaSeN2
1.0
5.0223 0.0000 0.0000
0.0000 5.0223 0.0000
0.0000 0.0000 6.3557
K Ga Se N
1 1 1 2
direct
0.0000 0.0000 0.0000
0.5000 0.5000 0.5000
0.0000 0.0000 0.5000
0.0000 0.5000 0.0000
0.5000 0.0000 0.0000
```

## Properties
**Space-group type**: P4/mmm
**Fermi-level density of states**: 2.95 states/eV/cell
**Magnetic moment**: 6.0 μB per cell

i wins, 1026 meV per atom ahead of the next structure.

i.
Material: KNa3Ga
Method: DFT, PBE-GGA
State: relaxed

Geometry as POSCAR:
```
KNa3Ga
1.0
5.8842 0.0000 0.0000
0.0000 5.8842 0.0000
0.0000 0.0000 5.8842
K Na Ga
1 3 1
direct
0.0000 0.0000 0.0000
0.0000 0.5000 0.5000
0.5000 0.0000 0.5000
0.5000 0.5000 0.0000
0.5000 0.5000 0.5000
```

## Properties
**Space-group type**: Pm-3m
**Fermi-level density of states**: 3.49 states/eV/cell
**Magnetic moment**: 0.0 μB per cell

ii.
Material: KNa3Ga
Method: DFT, PBE-GGA
State: relaxed

Geometry as POSCAR:
```
KNa3Ga
1.0
9.4843 -5.3783 0.0000
9.4843 5.3783 0.0000
-1.4415 0.0000 7.0955
K Na Ga
4 12 4
direct
0.0033 0.9967 0.7500
0.3708 0.6292 0.2500
0.6292 0.3708 0.7500
0.9967 0.0033 0.2500
0.0076 0.3483 0.0909
0.0138 0.3445 0.5858
0.3314 0.3316 0.4131
0.3316 0.3314 0.9131
0.3445 0.0138 0.0858
0.3483 0.0076 0.5909
0.6517 0.9924 0.4091
0.6555 0.9862 0.9142
0.6684 0.6686 0.0869
0.6686 0.6684 0.5869
0.9862 0.6555 0.4142
0.9924 0.6517 0.9091
0.2422 0.6233 0.7140
0.3767 0.7578 0.7860
0.6233 0.2422 0.2140
0.7578 0.3767 0.2860
```

## Properties
**Space-group type**: C2/c
**Fermi-level density of states**: 10.49 states/eV/cell
**Magnetic moment**: 0.0 μB per cell

iii.
Material: KNa3Ga
Method: DFT, PBE-GGA
State: relaxed

Geometry as POSCAR:
```
KNa3Ga
1.0
6.2667 0.0000 0.0000
0.0000 6.2667 0.0000
0.0000 0.0000 6.2667
K Na Ga
1 3 1
direct
0.0000 0.0000 0.0000
0.0000 0.0000 0.5000
0.0000 0.5000 0.0000
0.5000 0.0000 0.0000
0.5000 0.5000 0.5000
```

## Properties
**Space-group type**: Pm-3m
**Fermi-level density of states**: 3.33 states/eV/cell
**Magnetic moment**: 0.0 μB per cell

ii wins, 54 meV per atom ahead of the next structure.